{"formula": "U3V", "functional": "GGA-PBE", "state": "optimized geometry", "vol_a3_per_cell": 74.2, "dos_ef_per_ev_cell": 8.10, "e_tot_ev_per_atom": -10.591, "ef_ev_per_atom": 0.1548, "polymorph_energy_ev_per_atom": 0.000, "cell": [[-1.272, 2.099, -1.334], [2.031, -1.419, -4.172], [-4.302, -3.238, -0.993]], "species": ["V", "U", "U", "U"], "frac_coords": [[0.000, 0.000, 0.082], [0.500, 0.500, 0.769], [0.500, 0.000, 0.566], [0.000, 0.500, 0.250]]}